Entry 1:
VASP calculation (PBE) on a relaxed Cu5Br12F3 crystal.

POSCAR file:
```
Cu5Br12F3
1.0
-7.811 7.811 7.811
7.811 -7.811 7.811
7.811 7.811 -7.811
Cu Br F
20 48 12
Direct
0.000 0.000 0.000
0.000 0.000 0.500
0.000 0.500 0.000
0.000 0.500 0.500
0.125 0.750 0.875
0.125 0.875 0.250
0.250 0.125 0.875
0.250 0.625 0.375
0.375 0.250 0.625
0.375 0.625 0.750
0.500 0.000 0.000
0.500 0.000 0.500
0.500 0.500 0.000
0.500 0.500 0.500
0.625 0.375 0.250
0.625 0.750 0.375
0.750 0.375 0.625
0.750 0.875 0.125
0.875 0.125 0.750
0.875 0.250 0.125
0.030 0.213 0.109
0.030 0.317 0.921
0.079 0.609 0.396
0.079 0.970 0.683
0.104 0.713 0.683
0.104 0.891 0.421
0.109 0.030 0.213
0.109 0.579 0.896
0.183 0.213 0.604
0.183 0.470 0.579
0.213 0.109 0.030
0.213 0.604 0.183
0.287 0.317 0.896
0.287 0.470 0.391
0.317 0.896 0.287
0.317 0.921 0.030
0.391 0.287 0.470
0.391 0.604 0.921
0.396 0.079 0.609
0.396 0.817 0.787
0.421 0.104 0.891
0.421 0.817 0.530
0.470 0.391 0.287
0.470 0.579 0.183
0.530 0.421 0.817
0.530 0.609 0.713
0.579 0.183 0.470
0.579 0.896 0.109
0.604 0.183 0.213
0.604 0.921 0.391
0.609 0.396 0.079
0.609 0.713 0.530
0.683 0.079 0.970
0.683 0.104 0.713
0.713 0.530 0.609
0.713 0.683 0.104
0.787 0.396 0.817
0.787 0.891 0.970
0.817 0.530 0.421
0.817 0.787 0.396
0.891 0.421 0.104
0.891 0.970 0.787
0.896 0.109 0.579
0.896 0.287 0.317
0.921 0.030 0.317
0.921 0.391 0.604
0.970 0.683 0.079
0.970 0.787 0.891
0.125 0.250 0.375
0.125 0.375 0.750
0.250 0.375 0.125
0.250 0.875 0.625
0.375 0.125 0.250
0.375 0.750 0.125
0.625 0.250 0.875
0.625 0.875 0.750
0.750 0.125 0.375
0.750 0.625 0.875
0.875 0.625 0.250
0.875 0.750 0.625
```

Computed properties:
Formation energy from raw total energies: -1.51 eV per formula unit
Symmetry: Ia-3d
Calculated total energy: -2.38 eV/atom

Entry 2:
VASP calculation (PBE) on a relaxed CuBrF2 crystal.

POSCAR file:
```
CuBrF2
1.0
2.843 0.000 0.000
0.000 9.038 0.000
-0.005 0.000 5.651
Cu Br F
2 2 4
Direct
0.002 0.250 0.257
0.998 0.750 0.743
0.001 0.250 0.757
0.999 0.750 0.243
0.498 0.608 0.743
0.498 0.892 0.743
0.502 0.108 0.257
0.502 0.392 0.257
```

Computed properties:
Formation energy from raw total energies: -4.00 eV per formula unit
Symmetry: P2_1/m
Calculated total energy: -3.38 eV/atom

Entry 3:
VASP calculation (PBE) on a relaxed CuBr3F crystal.

POSCAR file:
```
CuBr3F
1.0
4.936 0.000 0.000
0.000 4.936 0.000
0.000 0.000 4.936
Cu Br F
1 3 1
Direct
0.000 0.000 0.000
0.000 0.000 0.500
0.000 0.500 0.000
0.500 0.000 0.000
0.500 0.500 0.500
```

Computed properties:
Formation energy from raw total energies: 0.49 eV per formula unit
Symmetry: Pm-3m
Calculated total energy: -2.10 eV/atom

Entry 4:
VASP calculation (PBE) on a relaxed Cu2BrF crystal.

POSCAR file:
```
Cu2BrF
1.0
1.917 1.107 5.950
-1.917 1.107 5.950
0.000 -2.214 5.950
Cu Br F
2 1 1
Direct
0.129 0.129 0.129
0.871 0.871 0.871
0.000 0.000 0.000
0.500 0.500 0.500
```

Computed properties:
Formation energy from raw total energies: -1.25 eV per formula unit
Symmetry: R-3m
Calculated total energy: -3.25 eV/atom

Entry 5:
VASP calculation (PBE) on a relaxed Cu3BrF5 crystal.

POSCAR file:
```
Cu3BrF5
1.0
5.397 -3.613 0.000
5.397 3.613 0.000
-4.936 0.000 7.592
Cu Br F
6 2 10
Direct
0.000 0.000 0.000
0.007 0.007 0.669
0.488 0.488 0.151
0.500 0.500 0.500
0.512 0.512 0.849
0.993 0.993 0.331
0.290 0.290 0.200
0.710 0.710 0.800
0.169 0.821 0.168
0.172 0.828 0.500
0.179 0.831 0.832
0.357 0.357 0.899
0.380 0.380 0.597
0.620 0.620 0.403
0.643 0.643 0.101
0.821 0.169 0.168
0.828 0.172 0.500
0.831 0.179 0.832
```

Computed properties:
Formation energy from raw total energies: -11.37 eV per formula unit
Symmetry: C2/m
Calculated total energy: -3.85 eV/atom

Entry 6:
VASP calculation (PBE) on a relaxed Cu3GeBr2F6 crystal.

POSCAR file:
```
Cu3GeBr2F6
1.0
6.372 -3.057 0.000
6.372 3.057 0.000
-0.391 0.000 4.915
Cu Ge Br F
3 1 2 6
Direct
0.000 0.000 0.000
0.000 0.500 0.500
0.500 0.000 0.500
0.500 0.500 0.500
0.187 0.187 0.163
0.813 0.813 0.837
0.233 0.663 0.267
0.337 0.767 0.733
0.373 0.373 0.660
0.627 0.627 0.340
0.663 0.233 0.267
0.767 0.337 0.733
```

Computed properties:
Formation energy from raw total energies: -17.26 eV per formula unit
Symmetry: C2/m
Calculated total energy: -4.06 eV/atom

Entry 7:
VASP calculation (PBE) on a relaxed CuHBrF crystal.

POSCAR file:
```
CuHBrF
1.0
3.575 -2.105 0.000
3.575 2.105 0.000
-2.490 0.000 4.884
Cu H Br F
1 1 1 1
Direct
0.000 0.000 0.000
0.200 0.200 0.937
0.357 0.357 0.264
0.723 0.723 0.746
```

Computed properties:
Symmetry: Cm
Calculated total energy: -3.20 eV/atom

Entry 8:
VASP calculation (PBE) on a relaxed HfCuBrF2 crystal.

POSCAR file:
```
HfCuBrF2
1.0
4.148 0.000 0.000
0.000 4.148 0.000
0.000 0.000 5.508
Hf Cu Br F
1 1 1 2
Direct
0.000 0.000 0.000
0.500 0.500 0.500
0.000 0.000 0.500
0.000 0.500 0.000
0.500 0.000 0.000
```

Computed properties:
Formation energy from raw total energies: -7.23 eV per formula unit
Symmetry: P4/mmm
Calculated total energy: -5.34 eV/atom

Entry 9:
VASP calculation (PBE) on a relaxed CuHg3Br2F6 crystal.

POSCAR file:
```
CuHg3Br2F6
1.0
5.820 -3.617 0.000
5.820 3.617 0.000
-0.436 0.000 5.852
Cu Hg Br F
1 3 2 6
Direct
0.000 0.000 0.000
0.000 0.500 0.000
0.500 0.000 0.000
0.500 0.500 0.500
0.300 0.300 0.622
0.700 0.700 0.378
0.140 0.140 0.180
0.150 0.689 0.179
0.311 0.850 0.821
0.689 0.150 0.179
0.850 0.311 0.821
0.860 0.860 0.820
```

Computed properties:
Formation energy from raw total energies: -13.74 eV per formula unit
Symmetry: C2/m
Calculated total energy: -2.78 eV/atom

Entry 10:
VASP calculation (PBE) on a relaxed Cu2IBrF crystal.

POSCAR file:
```
Cu2IBrF
1.0
4.975 0.000 0.000
0.000 4.975 0.000
0.000 0.000 4.582
Cu I Br F
2 1 1 1
Direct
0.000 0.500 0.000
0.500 0.000 0.000
0.000 0.000 0.000
0.500 0.500 0.500
0.000 0.000 0.500
```

Computed properties:
Formation energy from raw total energies: -0.07 eV per formula unit
Symmetry: P4/mmm
Calculated total energy: -2.67 eV/atom

Entry 11:
VASP calculation (PBE) on a relaxed CuIr2BrF crystal.

POSCAR file:
```
CuIr2BrF
1.0
4.084 0.000 0.000
0.000 4.084 0.000
0.000 0.000 5.385
Cu Ir Br F
1 2 1 1
Direct
0.000 0.000 0.000
0.000 0.500 0.500
0.500 0.000 0.500
0.500 0.500 0.000
0.500 0.500 0.500
```

Computed properties:
Formation energy from raw total energies: 6.06 eV per formula unit
Symmetry: P4/mmm
Calculated total energy: -3.86 eV/atom

Entry 12:
VASP calculation (PBE) on a relaxed K2CuBrF3 crystal.

POSCAR file:
```
K2CuBrF3
1.0
-2.173 2.490 6.708
2.173 -2.490 6.708
2.173 2.490 -6.708
K Cu Br F
2 1 1 3
Direct
0.161 0.161 0.000
0.839 0.839 0.000
0.500 0.500 0.000
0.000 0.500 0.500
0.351 0.351 0.000
0.500 0.000 0.500
0.649 0.649 0.000
```

Computed properties:
Formation energy from raw total energies: -13.00 eV per formula unit
Symmetry: Immm
Calculated total energy: -3.80 eV/atom

no.,M_tot (μB per cell)
1,38.517
2,2.764
3,1.493
4,0.000
5,5.658
6,1.050
7,0.000
8,0.981
9,1.000
10,0.000
11,1.597
12,0.969